NdSiPIr6 | PBE | optimized geometry

Unit cell a=6.063 b=9.162 c=7.971 alpha=125.08 beta=112.35 gamma=90.00
Positions (direct):
1 Nd 0.820 0.570 0.640
2 Nd 0.180 0.430 0.360
3 Si 0.500 0.000 0.500
4 Si 0.000 0.000 0.500
5 P 0.500 0.500 0.000
6 P 0.500 0.000 0.000
7 Ir 0.429 0.679 0.857
8 Ir 0.902 0.152 0.804
9 Ir 0.895 0.118 0.269
10 Ir 0.374 0.652 0.269
11 Ir 0.374 0.118 0.269
12 Ir 0.895 0.652 0.269
13 Ir 0.571 0.321 0.143
14 Ir 0.098 0.848 0.196
15 Ir 0.105 0.882 0.731
16 Ir 0.626 0.348 0.731
17 Ir 0.626 0.882 0.731
18 Ir 0.105 0.348 0.731

Output
raw formation energy: -4.38 kJ/mol of atoms
spin magnetization: 0.000 μB/cell